Sc2SnRh2 (PBE, optimized geometry); uncorrected energy = -6.736 eV/atom; total moment = 0.00 μB/cell; crystal system = tetragonal; SG = I4/mmm
1.0
-2.172 2.172 5.458
2.172 -2.172 5.458
2.172 2.172 -5.458
Sc Sn Rh
2 1 2
Direct
0.250 0.750 0.500 Sc
0.750 0.250 0.500 Sc
0.000 0.000 0.000 Sn
0.386 0.386 0.000 Rh
0.614 0.614 0.000 Rh